No. 1
# CuGe2Pb PBE-GGA relaxed
data_CuGe2Pb
_chemical_formula_sum 'Cu1 Ge2 Pb1'
_cell_length_a 4.888
_cell_length_b 4.888
_cell_length_c 4.888
_cell_angle_alpha 60.00
_cell_angle_beta 60.00
_cell_angle_gamma 60.00
_symmetry_space_group_name_H-M 'P 1'
_symmetry_Int_Tables_number 1
_symmetry_space_group_name_Hall 'P 1'
loop_
_atom_site_label
_atom_site_type_symbol
_atom_site_fract_x
_atom_site_fract_y
_atom_site_fract_z
Cu1 Cu 0.000 0.000 0.000
Ge1 Ge 0.250 0.250 0.250
Ge2 Ge 0.500 0.500 0.500
Pb1 Pb 0.750 0.750 0.750
# Total energy = -3.77 eV per atom
# ρ = 8.365 g cm⁻³

=====

No. 2
# NdB4Pt PBE-GGA relaxed
data_NdB4Pt
_chemical_formula_sum 'Nd1 B4 Pt1'
_cell_length_a 3.285
_cell_length_b 3.285
_cell_length_c 7.081
_cell_angle_alpha 90.00
_cell_angle_beta 90.00
_cell_angle_gamma 120.00
_symmetry_space_group_name_H-M 'P 1'
_symmetry_Int_Tables_number 1
_symmetry_space_group_name_Hall 'P 1'
loop_
_atom_site_label
_atom_site_type_symbol
_atom_site_fract_x
_atom_site_fract_y
_atom_site_fract_z
Nd1 Nd 0.000 0.000 0.000
B1 B 0.333 0.667 0.283
B2 B 0.333 0.667 0.717
B3 B 0.667 0.333 0.283
B4 B 0.667 0.333 0.717
Pt1 Pt 0.000 0.000 0.500
# Total energy = -6.28 eV per atom
# ρ = 9.603 g cm⁻³

=====

No. 3
# YCoSiPt PBE-GGA relaxed
data_YCoSiPt
_chemical_formula_sum 'Y1 Co1 Si1 Pt1'
_cell_length_a 4.531
_cell_length_b 4.531
_cell_length_c 4.531
_cell_angle_alpha 60.00
_cell_angle_beta 60.00
_cell_angle_gamma 60.00
_symmetry_space_group_name_H-M 'P 1'
_symmetry_Int_Tables_number 1
_symmetry_space_group_name_Hall 'P 1'
loop_
_atom_site_label
_atom_site_type_symbol
_atom_site_fract_x
_atom_site_fract_y
_atom_site_fract_z
Y1 Y 0.000 0.000 0.000
Co1 Co 0.750 0.750 0.750
Si1 Si 0.500 0.500 0.500
Pt1 Pt 0.250 0.250 0.250
# Relative energy among the computed polymorphs = 0 meV per atom
# ρ = 9.368 g cm⁻³

=====

No. 4
# HgMo6S8 PBE-GGA relaxed
data_HgMo6S8
_chemical_formula_sum 'Hg1 Mo6 S8'
_cell_length_a 6.564
_cell_length_b 6.564
_cell_length_c 6.564
_cell_angle_alpha 92.81
_cell_angle_beta 92.81
_cell_angle_gamma 92.81
_symmetry_space_group_name_H-M 'P 1'
_symmetry_Int_Tables_number 1
_symmetry_space_group_name_Hall 'P 1'
loop_
_atom_site_label
_atom_site_type_symbol
_atom_site_fract_x
_atom_site_fract_y
_atom_site_fract_z
Hg1 Hg 0.000 0.000 0.000
Mo1 Mo 0.220 0.554 0.409
Mo2 Mo 0.409 0.220 0.554
Mo3 Mo 0.446 0.591 0.780
Mo4 Mo 0.554 0.409 0.220
Mo5 Mo 0.591 0.780 0.446
Mo6 Mo 0.780 0.446 0.591
S1 S 0.132 0.379 0.724
S2 S 0.227 0.227 0.227
S3 S 0.276 0.868 0.621
S4 S 0.379 0.724 0.132
S5 S 0.621 0.276 0.868
S6 S 0.724 0.132 0.379
S7 S 0.773 0.773 0.773
S8 S 0.868 0.621 0.276
# Total energy = -7.18 eV per atom
# ρ = 6.085 g cm⁻³